## MgSi4Rh6 (GGA-PBE)

Data for MgSi4Rh6 after structural relaxation.

CIF file:
```
data_MgSi4Rh6
_chemical_formula_sum 'Mg1 Si4 Rh6'
_cell_length_a 7.0581
_cell_length_b 7.0581
_cell_length_c 3.6635
_cell_angle_alpha 90.00
_cell_angle_beta 90.00
_cell_angle_gamma 120.00
_symmetry_space_group_name_H-M 'P -6 m 2'
_symmetry_Int_Tables_number 187
_symmetry_space_group_name_Hall 'P -6 2'
loop_
_atom_site_label
_atom_site_type_symbol
_atom_site_fract_x
_atom_site_fract_y
_atom_site_fract_z
Mg1 Mg 0.0000 0.0000 0.0000
Si1 Si 0.3333 0.6667 0.0000
Si2 Si 0.3984 0.1992 0.5000
Rh1 Rh 0.1916 0.3833 0.5000
Rh2 Rh 0.5337 0.0675 0.0000
```

Properties
The value obtained for the energy relative to the elements, uncorrected is -0.8150 eV/atom.

---

## Ca3SmAg4 (GGA-PBE)

Data for Ca3SmAg4 after structural relaxation.

CIF file:
```
data_Ca3SmAg4
_chemical_formula_sum 'Ca9 Sm3 Ag12'
_cell_length_a 5.2430
_cell_length_b 5.2430
_cell_length_c 25.6672
_cell_angle_alpha 90.00
_cell_angle_beta 90.00
_cell_angle_gamma 120.00
_symmetry_space_group_name_H-M 'R -3 m'
_symmetry_Int_Tables_number 166
_symmetry_space_group_name_Hall '-R 3 2"'
loop_
_atom_site_label
_atom_site_type_symbol
_atom_site_fract_x
_atom_site_fract_y
_atom_site_fract_z
Ca1 Ca 0.0000 0.0000 0.0000
Ca2 Ca 0.0000 0.0000 0.2508
Sm1 Sm 0.0000 0.0000 0.5000
Ag1 Ag 0.0000 0.0000 0.1277
Ag2 Ag 0.0000 0.0000 0.3769
```

Properties
The formation energy from the elements is -309 meV/atom.